(1)
# Cs2HfSeF6 (GGA-PBE, relaxed)
# Total DFT energy (no corrections) = -5.481 eV/atom
# Crystal system = tetragonal
# Energy relative to the elements, uncorrected = -2844 meV/atom
# D(E_F) = 0.000 states/eV per atom
data_Cs2HfSeF6
_symmetry_space_group_name_H-M 'I 4/m m m'
_symmetry_Int_Tables_number 139
_symmetry_space_group_name_Hall '-I 4 2'
_cell_length_a 6.836
_cell_length_b 6.836
_cell_length_c 10.763
_cell_angle_alpha 90.00
_cell_angle_beta 90.00
_cell_angle_gamma 90.00
loop_
_atom_site_label
_atom_site_fract_x
_atom_site_fract_y
_atom_site_fract_z
Cs1 0.000 0.500 0.250
Hf1 0.000 0.000 0.000
Se1 0.000 0.000 0.500
F1 0.000 0.000 0.186
F2 0.208 0.208 0.000

---

(2)
# CsHf2SeF (GGA-PBE, relaxed)
# Total DFT energy (no corrections) = -5.331 eV/atom
# Crystal system = tetragonal
# Energy relative to the elements, uncorrected = -108 meV/atom
# D(E_F) = 0.935 states/eV per atom
data_CsHf2SeF
_symmetry_space_group_name_H-M 'P 4/m m m'
_symmetry_Int_Tables_number 123
_symmetry_space_group_name_Hall '-P 4 2'
_cell_length_a 4.589
_cell_length_b 4.589
_cell_length_c 5.705
_cell_angle_alpha 90.00
_cell_angle_beta 90.00
_cell_angle_gamma 90.00
loop_
_atom_site_label
_atom_site_fract_x
_atom_site_fract_y
_atom_site_fract_z
Cs1 0.000 0.000 0.000
Hf1 0.000 0.500 0.500
Se1 0.500 0.500 0.000
F1 0.500 0.500 0.500

---

(3)
# CsHfSe2F (GGA-PBE, relaxed)
# Total DFT energy (no corrections) = -5.744 eV/atom
# Crystal system = tetragonal
# Energy relative to the elements, uncorrected = -1815 meV/atom
# D(E_F) = 0.068 states/eV per atom
data_CsHfSe2F
_symmetry_space_group_name_H-M 'P 4/m m m'
_symmetry_Int_Tables_number 123
_symmetry_space_group_name_Hall '-P 4 2'
_cell_length_a 5.363
_cell_length_b 5.363
_cell_length_c 4.361
_cell_angle_alpha 90.00
_cell_angle_beta 90.00
_cell_angle_gamma 90.00
loop_
_atom_site_label
_atom_site_fract_x
_atom_site_fract_y
_atom_site_fract_z
Cs1 0.000 0.000 0.000
Hf1 0.500 0.500 0.500
Se1 0.000 0.500 0.500
F1 0.500 0.500 0.000